A plane-wave DFT calculation with PBE was carried out for an optimized crystal structure of MgBeB14.

Cell: 5.778 7.121 7.121 Å, 69.42 66.06 66.06°
Positions (direct):
B 0.666 0.361 0.306
B 0.166 0.628 0.534
B 0.171 0.034 0.128
B 0.912 0.916 0.261
B 0.156 0.215 0.473
B 0.334 0.966 0.872
B 0.666 0.034 0.128
B 0.588 0.239 0.584
B 0.088 0.084 0.739
B 0.656 0.973 0.715
B 0.277 0.401 0.725
B 0.723 0.599 0.275
B 0.671 0.628 0.534
B 0.903 0.775 0.099
B 0.844 0.785 0.527
B 0.344 0.027 0.285
B 0.777 0.225 0.901
B 0.829 0.966 0.872
B 0.834 0.372 0.466
B 0.412 0.761 0.416
B 0.223 0.775 0.099
B 0.329 0.372 0.466
B 0.097 0.225 0.901
B 0.403 0.599 0.275
B 0.834 0.194 0.139
B 0.334 0.639 0.694
B 0.166 0.806 0.861
B 0.597 0.401 0.725
Be 0.000 0.000 0.500
Be 0.500 0.000 0.500
Mg 0.250 0.387 0.113
Mg 0.750 0.613 0.887

Summary:
final energy	-6.314	eV/atom
DFT formation energy	-0.138	eV per atom